1.
An optimized crystal structure of Ca2Tc3N5, computed with PBE.

Structure (extended XYZ):
```
10
Lattice="3.234 0.000 0.718 1.188 5.326 2.293 0.042 -0.009 7.457" Properties=species:S:1:pos:R:3 pbc="T T T"
Tc 2.232 2.659 5.234
N 1.753 2.759 7.392
N 2.710 2.559 3.076
N 3.839 4.122 5.636
Tc 1.017 3.630 3.062
N 0.624 1.196 4.831
Ca 1.144 0.639 2.488
Ca 3.319 4.679 7.979
N 0.000 0.000 0.000
Tc 3.446 1.688 7.405
```

Values from the calculation:
The calculation puts the theoretical density at 5.75 Mg/m³. Its total magnetic moment is 0.18 μB/f.u. For the formation energy (no corrections), the calculation gives -384.2 kJ/mol of formula units.


2.
An optimized crystal structure of CaTcN3, computed with PBE.

Structure (extended XYZ):
```
10
Lattice="-1.325 3.472 -0.603 -1.899 -0.786 -3.411 -6.514 -0.426 6.484" Properties=species:S:1:pos:R:3 pbc="T T T"
Tc -6.442 1.776 3.309
N -2.917 -0.010 0.816
N -4.181 -0.058 0.835
N -3.271 1.897 -2.336
Tc -5.808 -0.313 1.706
N -7.327 1.165 1.542
Ca -3.551 2.118 2.146
N -2.332 1.451 -1.765
N -6.584 -0.293 3.568
Ca -0.599 0.524 -0.461
```

Values from the calculation:
The calculation puts the theoretical density at 4.56 Mg/m³. Its total magnetic moment is 0.00 μB/f.u. For the formation energy (no corrections), the calculation gives -132.8 kJ/mol of formula units.


3.
An optimized crystal structure of CaTcN3, computed with PBE.

Structure (extended XYZ):
```
10
Lattice="3.503 -0.004 0.000 -0.579 5.626 -0.004 0.571 1.416 7.086" Properties=species:S:1:pos:R:3 pbc="T T T"
N 3.035 2.961 2.608
N 2.821 2.705 1.447
N 2.409 2.384 5.642
Tc 3.295 3.598 4.324
Ca 1.709 6.312 3.480
Ca 1.733 4.554 6.862
N -0.212 5.462 0.713
N 0.045 5.677 1.854
Tc 0.647 1.520 5.948
N 3.461 5.352 5.151
```

Values from the calculation:
The calculation puts the theoretical density at 4.28 Mg/m³. Its total magnetic moment is 0.00 μB/f.u. For the formation energy (no corrections), the calculation gives -166.4 kJ/mol of formula units.